Model A:
## Tl3GeRh (PBE-GGA)

Data for a relaxed Tl3GeRh crystal.

Calculated values
DOS(E_F): 4.3 states/eV per cell
Calculated density: 9102 kg/m3
Total magnetic moment: 0.00 μB per cell
SG: No. 221

a b c (Å): 5.240 5.240 5.240
angles (deg): 90.00 90.00 90.00
Sites, in units of the cell vectors:
1 Tl 0.000 0.000 0.500
2 Tl 0.000 0.500 0.000
3 Tl 0.500 0.000 0.000
4 Ge 0.500 0.500 0.500
5 Rh 0.000 0.000 0.000


Model B:
## Tl3GeRh (PBE-GGA)

Data for a relaxed Tl3GeRh crystal.

Calculated values
DOS(E_F): 9.5 states/eV per cell
Calculated density: 8538 kg/m3
Total magnetic moment: 0.73 μB per cell
SG: No. 221

a b c (Å): 5.353 5.353 5.353
angles (deg): 90.00 90.00 90.00
Sites, in units of the cell vectors:
1 Tl 0.000 0.000 0.500
2 Tl 0.000 0.500 0.000
3 Tl 0.500 0.000 0.000
4 Ge 0.000 0.000 0.000
5 Rh 0.500 0.500 0.500


Of them, model B has the lowest stability.